Record 1
Density functional theory data (PBE) for an optimized crystal structure of TeOs2Br.

Lattice parameters (Å, degrees): 3.0864 3.0864 9.0708 90.00 90.00 121.83
Sites, in units of the cell vectors:
Te  0.0000  0.0000  0.0000
Os  0.5000  0.5000  0.2486
Os  0.5000  0.5000  0.7514
Br  0.0000  0.0000  0.5000

Its total energy is -5.39 eV/atom. The energy relative to the lowest polymorph listed for this composition is 1104 meV per atom. As for the symmetry: No. 65.

Record 2
Density functional theory data (PBE) for an optimized crystal structure of RhC3.

Lattice parameters (Å, degrees): 7.0384 7.0384 2.5748 90.00 90.00 144.79
Sites, in units of the cell vectors:
Rh  0.0849  0.9151  0.7500
Rh  0.9151  0.0849  0.2500
C  0.0722  0.5911  0.7500
C  0.4089  0.9278  0.7500
C  0.4772  0.5228  0.2500
C  0.5228  0.4772  0.7500
C  0.5911  0.0722  0.2500
C  0.9278  0.4089  0.2500

Its formation energy is 0.57 eV/atom. Its total energy is -8.19 eV/atom. The energy relative to the lowest polymorph listed for this composition is 0 meV per atom. As for the symmetry: No. 63.

Record 3
Density functional theory data (PBE) for an optimized crystal structure of LiTl2Ag.

Lattice parameters (Å, degrees): 5.4777 5.4777 5.0597 107.55 107.55 39.36
Sites, in units of the cell vectors:
Li  0.0000  0.0000  0.0000
Tl  0.2489  0.2489  0.7951
Tl  0.4774  0.4774  0.4718
Ag  0.7215  0.7215  0.2578

Its formation energy is -0.04 eV/atom. Its total energy is -2.41 eV/atom. The energy relative to the lowest polymorph listed for this composition is 23 meV per atom. As for the symmetry: No. 8.

Record 4
Density functional theory data (PBE) for an optimized crystal structure of Fe3Os4.

Lattice parameters (Å, degrees): 4.5926 4.5926 4.9802 90.00 90.00 120.00
Sites, in units of the cell vectors:
Fe  0.0000  0.5000  0.0000
Fe  0.5000  0.0000  0.0000
Fe  0.5000  0.5000  0.0000
Os  0.0000  0.0000  0.2551
Os  0.0000  0.0000  0.7449
Os  0.3333  0.6667  0.5000
Os  0.6667  0.3333  0.5000

Its formation energy is 0.24 eV/atom. Its total energy is -9.81 eV/atom. As for the symmetry: No. 191.

Record 5
Density functional theory data (PBE) for an optimized crystal structure of NaPr3H.

Lattice parameters (Å, degrees): 5.2040 5.2040 5.2040 90.00 90.00 90.00
Sites, in units of the cell vectors:
Na  0.0000  0.0000  0.0000
Pr  0.0000  0.5000  0.5000
Pr  0.5000  0.0000  0.5000
Pr  0.5000  0.5000  0.0000
H  0.5000  0.5000  0.5000

Its total energy is -3.79 eV/atom. As for the symmetry: No. 221.

Record 6
Density functional theory data (PBE) for an optimized crystal structure of RbSrHf2Co.

Lattice parameters (Å, degrees): 5.6356 5.6356 4.9316 90.00 90.00 90.00
Sites, in units of the cell vectors:
Rb  0.0000  0.0000  0.0000
Sr  0.5000  0.5000  0.5000
Hf  0.0000  0.5000  0.5000
Hf  0.5000  0.0000  0.5000
Co  0.5000  0.5000  0.0000

Its formation energy is 2.15 eV/atom. Its total energy is -3.78 eV/atom. As for the symmetry: No. 123.

Record 7
Density functional theory data (PBE) for an optimized crystal structure of Ba2BeAlO.

Lattice parameters (Å, degrees): 6.4773 6.4773 3.6638 90.00 90.00 90.00
Sites, in units of the cell vectors:
Ba  0.0000  0.5000  0.0000
Ba  0.5000  0.0000  0.0000
Be  0.0000  0.0000  0.5000
Al  0.5000  0.5000  0.0000
O  0.5000  0.5000  0.5000

Its total energy is -3.33 eV/atom. As for the symmetry: No. 123.

Record 8
Density functional theory data (PBE) for an optimized crystal structure of TaGaAu.

Lattice parameters (Å, degrees): 6.4268 6.4268 6.4268 153.89 153.89 37.26
Sites, in units of the cell vectors:
Ta  0.0000  0.0000  0.0000
Ga  0.6620  0.6620  0.0000
Au  0.3298  0.3298  0.0000

Its formation energy is -0.09 eV/atom. Its total energy is -6.14 eV/atom. As for the symmetry: No. 107.

Record 9
Density functional theory data (PBE) for an optimized crystal structure of HoTl2OsO8.

Lattice parameters (Å, degrees): 5.0852 6.6903 5.0918 90.00 91.34 90.00
Sites, in units of the cell vectors:
Ho  0.0000  0.0000  0.0000
Tl  0.5000  0.2505  0.5000
Tl  0.5000  0.7495  0.5000
Os  0.0000  0.5000  0.0000
O  0.1777  0.2894  0.8249
O  0.1777  0.7106  0.8249
O  0.2677  0.5000  0.2707
O  0.3010  0.0000  0.3039
O  0.6990  0.0000  0.6961
O  0.7323  0.5000  0.7293
O  0.8223  0.2894  0.1751
O  0.8223  0.7106  0.1751

Its total energy is -6.31 eV/atom. As for the symmetry: No. 10.

Record 10
Density functional theory data (PBE) for an optimized crystal structure of Ac2BiN.

Lattice parameters (Å, degrees): 8.7504 8.7504 8.7504 26.18 26.18 26.18
Sites, in units of the cell vectors:
Ac  0.2258  0.2258  0.2258
Ac  0.7742  0.7742  0.7742
Bi  0.0000  0.0000  0.0000
N  0.5000  0.5000  0.5000

Its total energy is -5.94 eV/atom. The energy relative to the lowest polymorph listed for this composition is 173 meV per atom. As for the symmetry: No. 166.

Record 11
Density functional theory data (PBE) for an optimized crystal structure of AcEuHIr.

Lattice parameters (Å, degrees): 5.0210 5.0210 5.0210 60.00 60.00 60.00
Sites, in units of the cell vectors:
Ac  0.0000  0.0000  0.0000
Eu  0.5000  0.5000  0.5000
H  0.2500  0.2500  0.2500
Ir  0.7500  0.7500  0.7500

Its total energy is -6.94 eV/atom. As for the symmetry: No. 216.

Record 12
Density functional theory data (PBE) for an optimized crystal structure of TaTi3Nb4.

Lattice parameters (Å, degrees): 7.3282 7.3282 4.6605 108.22 108.22 36.98
Sites, in units of the cell vectors:
Ta  0.0000  0.0000  0.0000
Ti  0.3771  0.3771  0.8783
Ti  0.5000  0.5000  0.5000
Ti  0.6229  0.6229  0.1217
Nb  0.1290  0.1290  0.6278
Nb  0.2506  0.2506  0.2508
Nb  0.7494  0.7494  0.7492
Nb  0.8710  0.8710  0.3722

Its formation energy is 0.02 eV/atom. Its total energy is -9.45 eV/atom. As for the symmetry: No. 12.